{"formula": "Ac2La13", "functional": "PBE", "state": "optimized geometry", "final_energy_ev_per_atom": -4.340, "m_tot_mub_per_fu": 0.0, "dos_at_fermi_per_ev_atom": 1.619, "delta_e_f_ev_per_fu": 7.17, "cell": [[4.863, 2.807, 7.710], [-4.863, 2.807, 7.710], [0.000, -5.615, 7.710]], "species": ["Ac", "Ac", "La", "La", "La", "La", "La", "La", "La", "La", "La", "La", "La", "La", "La"], "fractional_positions": [[0.234, 0.234, 0.234], [0.766, 0.766, 0.766], [0.021, 0.021, 0.691], [0.021, 0.691, 0.021], [0.252, 0.252, 0.597], [0.252, 0.597, 0.252], [0.309, 0.979, 0.979], [0.403, 0.748, 0.748], [0.500, 0.500, 0.500], [0.597, 0.252, 0.252], [0.691, 0.021, 0.021], [0.748, 0.403, 0.748], [0.748, 0.748, 0.403], [0.979, 0.309, 0.979], [0.979, 0.979, 0.309]]}

{"formula": "UTcNi4", "functional": "PBE", "state": "optimized geometry", "final_energy_ev_per_atom": -7.590, "m_tot_mub_per_fu": 0.7, "dos_at_fermi_per_ev_atom": 1.189, "delta_e_f_ev_per_fu": -0.76, "cell": [[0.000, 3.419, 3.419], [3.419, 0.000, 3.419], [3.419, 3.419, 0.000]], "species": ["U", "Tc", "Ni", "Ni", "Ni", "Ni"], "fractional_positions": [[0.000, 0.000, 0.000], [0.750, 0.750, 0.750], [0.376, 0.376, 0.376], [0.376, 0.376, 0.872], [0.376, 0.872, 0.376], [0.872, 0.376, 0.376]]}

{"formula": "NaMn2Al2", "functional": "PBE", "state": "optimized geometry", "final_energy_ev_per_atom": -5.031, "m_tot_mub_per_fu": 0.1, "dos_at_fermi_per_ev_atom": 0.806, "delta_e_f_ev_per_fu": 1.99, "de_polymorph_mev_per_atom": 294, "cell": [[3.460, 0.000, 0.000], [0.000, 3.460, 0.000], [0.000, 0.000, 13.281]], "species": ["Na", "Na", "Mn", "Mn", "Mn", "Mn", "Al", "Al", "Al", "Al"], "fractional_positions": [[0.000, 0.000, 0.000], [0.500, 0.500, 0.500], [0.000, 0.500, 0.250], [0.000, 0.500, 0.750], [0.500, 0.000, 0.250], [0.500, 0.000, 0.750], [0.000, 0.000, 0.387], [0.000, 0.000, 0.613], [0.500, 0.500, 0.113], [0.500, 0.500, 0.887]]}

{"formula": "SrPtBr2", "functional": "PBE", "state": "optimized geometry", "final_energy_ev_per_atom": -3.587, "raw_formation_energy_ev_per_atom": -0.82, "m_tot_mub_per_fu": 0.0, "de_polymorph_mev_per_atom": 324, "cell": [[4.220, 0.000, 0.000], [0.000, 4.220, 0.000], [0.000, 0.000, 6.337]], "species": ["Sr", "Pt", "Br", "Br"], "fractional_positions": [[0.000, 0.000, 0.000], [0.500, 0.500, 0.791], [0.000, 0.000, 0.536], [0.500, 0.500, 0.170]]}

{"formula": "Dy2Ni3As4Pt", "functional": "PBE", "state": "optimized geometry", "final_energy_ev_per_atom": -5.908, "m_tot_mub_per_fu": 0.0, "dos_at_fermi_per_ev_atom": 0.347, "delta_e_f_ev_per_fu": -7.89, "cell": [[4.229, 0.000, 0.000], [0.000, 4.229, 0.000], [0.000, 0.000, 9.479]], "species": ["Dy", "Dy", "Ni", "Ni", "Ni", "As", "As", "As", "As", "Pt"], "fractional_positions": [[0.000, 0.500, 0.247], [0.500, 0.000, 0.753], [0.000, 0.500, 0.884], [0.500, 0.000, 0.116], [0.500, 0.500, 0.500], [0.000, 0.000, 0.000], [0.000, 0.500, 0.641], [0.500, 0.000, 0.359], [0.500, 0.500, 0.000], [0.000, 0.000, 0.500]]}

{"formula": "KOs", "functional": "PBE", "state": "optimized geometry", "final_energy_ev_per_atom": -4.425, "m_tot_mub_per_fu": 1.5, "dos_at_fermi_per_ev_atom": 0.753, "delta_e_f_ev_per_fu": 3.48, "de_polymorph_mev_per_atom": 1040, "cell": [[10.024, 0.000, 0.000], [0.000, 10.024, 0.000], [0.000, 0.000, 10.024]], "species": ["K", "K", "K", "K", "K", "K", "K", "K", "Os", "Os", "Os", "Os", "Os", "Os", "Os", "Os"], "fractional_positions": [[0.212, 0.212, 0.212], [0.212, 0.788, 0.788], [0.288, 0.288, 0.712], [0.288, 0.712, 0.288], [0.712, 0.288, 0.288], [0.712, 0.712, 0.712], [0.788, 0.212, 0.788], [0.788, 0.788, 0.212], [0.086, 0.086, 0.914], [0.086, 0.914, 0.086], [0.414, 0.414, 0.414], [0.414, 0.586, 0.586], [0.586, 0.414, 0.586], [0.586, 0.586, 0.414], [0.914, 0.086, 0.086], [0.914, 0.914, 0.914]]}

{"formula": "CsPmBi2", "functional": "PBE", "state": "optimized geometry", "final_energy_ev_per_atom": -3.738, "m_tot_mub_per_fu": 0.0, "dos_at_fermi_per_ev_atom": 0.725, "delta_e_f_ev_per_fu": -1.58, "de_polymorph_mev_per_atom": 155, "cell": [[4.651, 0.000, 0.000], [-2.326, 4.028, 0.000], [0.000, 0.000, 28.159]], "species": ["Cs", "Cs", "Cs", "Pm", "Pm", "Pm", "Bi", "Bi", "Bi", "Bi", "Bi", "Bi"], "fractional_positions": [[0.000, 0.000, 0.000], [0.333, 0.667, 0.667], [0.667, 0.333, 0.333], [0.000, 0.000, 0.500], [0.333, 0.667, 0.167], [0.667, 0.333, 0.833], [0.000, 0.000, 0.230], [0.000, 0.000, 0.770], [0.333, 0.667, 0.437], [0.333, 0.667, 0.897], [0.667, 0.333, 0.103], [0.667, 0.333, 0.563]]}

{"formula": "RbTl2SnS4", "functional": "PBE", "state": "optimized geometry", "final_energy_ev_per_atom": -3.683, "raw_formation_energy_ev_per_atom": -0.41, "m_tot_mub_per_fu": 0.0, "dos_at_fermi_per_ev_atom": 0.403, "cell": [[-4.108, 4.284, 6.031], [4.108, -4.284, 6.031], [4.108, 4.284, -6.031]], "species": ["Rb", "Rb", "Tl", "Tl", "Tl", "Tl", "Sn", "Sn", "S", "S", "S", "S", "S", "S", "S", "S"], "fractional_positions": [[0.500, 0.000, 0.000], [0.500, 0.500, 0.500], [0.000, 0.000, 0.000], [0.000, 0.000, 0.500], [0.000, 0.500, 0.000], [0.500, 0.000, 0.500], [0.000, 0.500, 0.500], [0.500, 0.500, 0.000], [0.199, 0.736, 0.463], [0.228, 0.264, 0.963], [0.236, 0.262, 0.526], [0.236, 0.709, 0.974], [0.764, 0.291, 0.026], [0.764, 0.738, 0.474], [0.772, 0.736, 0.037], [0.801, 0.264, 0.537]]}